The following is a DFT calculation (PBE) of a relaxed structure of CaTcRu2.

Cell: 9.0145 2.8286 5.6050 Å, 90.00 99.07 90.00°
Space group C2/m (No. 12)
Asymmetric unit:
1 Ca 0.0000 0.0000 0.0000 x2
2 Tc 0.0000 0.5000 0.5000 x2
3 Ru 0.2340 0.0000 0.6849 x4

- Final energy: -58.5 eV/cell
- Volume: 17.6 Å³/atom
- Excess energy over the best structure of this formula in the dataset: 0.127 eV/atom